[1]
# TaGeP2Cl, optimized geometry, DFT PBE-GGA
# * formation energy (no corrections): 0.23 eV/atom
# * energy relative to the lowest polymorph listed for this composition: 0.0000 eV/atom
# * total energy: -5.593 eV per atom
data_TaGeP2Cl
_cell_length_a 4.890
_cell_length_b 4.890
_cell_length_c 4.739
_cell_angle_alpha 90.00
_cell_angle_beta 90.00
_cell_angle_gamma 90.00
_space_group_name_H-M_alt 'P 4/m m m'
_space_group_IT_number 123
_space_group_name_Hall '-P 4 2'
loop_
_atom_site_label
_atom_site_type_symbol
_atom_site_fract_x
_atom_site_fract_y
_atom_site_fract_z
_atom_site_occupancy
Ta1 Ta 0.000 0.000 0.000 1
Ge1 Ge 0.500 0.500 0.500 1
P1 P 0.000 0.500 0.000 1
Cl1 Cl 0.000 0.000 0.500 1

---

[2]
# LiBe2Ni, optimized geometry, DFT PBE-GGA
# * ΔH_f (0 K): 46 meV/atom
# * total energy: -3.741 eV per atom
data_LiBe2Ni
_cell_length_a 2.730
_cell_length_b 3.832
_cell_length_c 7.664
_cell_angle_alpha 90.00
_cell_angle_beta 90.00
_cell_angle_gamma 90.00
_space_group_name_H-M_alt 'C m m 2'
_space_group_IT_number 35
loop_
_space_group_symop_operation_xyz
'x,y,z'
'-x,-y,z'
'-x,y,z'
'x,-y,z'
'x+1/2,y+1/2,z'
'-x+1/2,-y+1/2,z'
'-x+1/2,y+1/2,z'
'x+1/2,-y+1/2,z'
loop_
_atom_site_label
_atom_site_type_symbol
_atom_site_fract_x
_atom_site_fract_y
_atom_site_fract_z
_atom_site_occupancy
Li1 Li 0.000 0.000 0.000 1
Be1 Be 0.000 0.000 0.507 1
Be2 Be 0.000 0.500 0.279 1
Ni1 Ni 0.000 0.500 0.731 1

---

[3]
# Sm8Dy6Ho, optimized geometry, DFT PBE-GGA
# * ΔH_f (0 K): 124 meV/atom
# * energy relative to the lowest polymorph listed for this composition: 0.0000 eV/atom
# * total energy: -4.539 eV per atom
data_Sm8Dy6Ho
_cell_length_a 9.0954
_cell_length_b 9.0954
_cell_length_c 20.7711
_cell_angle_alpha 90.00
_cell_angle_beta 90.00
_cell_angle_gamma 120.00
_space_group_name_H-M_alt 'R -3'
_space_group_IT_number 148
_space_group_name_Hall '-R 3'
loop_
_atom_site_label
_atom_site_type_symbol
_atom_site_fract_x
_atom_site_fract_y
_atom_site_fract_z
_atom_site_occupancy
Sm1 Sm 0.0000 0.0000 0.0774 1
Sm2 Sm 0.0812 0.5556 0.3069 1
Dy1 Dy 0.0518 0.2459 0.2063 1
Ho1 Ho 0.0000 0.0000 0.5000 1

---

[4]
# Nd7Ga2Ge2, optimized geometry, DFT PBE-GGA
# * ΔH_f (0 K): -257 meV/atom
# * total energy: -4.681 eV per atom
data_Nd7Ga2Ge2
_cell_length_a 7.817
_cell_length_b 11.212
_cell_length_c 7.468
_cell_angle_alpha 90.00
_cell_angle_beta 90.00
_cell_angle_gamma 90.00
_space_group_name_H-M_alt 'C m m m'
_space_group_IT_number 65
_space_group_name_Hall '-C 2 2'
loop_
_atom_site_label
_atom_site_type_symbol
_atom_site_fract_x
_atom_site_fract_y
_atom_site_fract_z
_atom_site_occupancy
Nd1 Nd 0.000 0.000 0.000 1
Nd2 Nd 0.000 0.500 0.256 1
Nd3 Nd 0.250 0.250 0.291 1
Ga1 Ga 0.000 0.286 0.000 1
Ge1 Ge 0.167 0.000 0.500 1